# 1
## NiC (PBE)

Data for a relaxed NiC crystal.

Total DFT energy (no corrections)   -6.5118 eV per atom
Volume   10.67 Å³/atom
Space-group type   P4_2/mnm, No. 136
DFT formation energy   2.0 eV per formula unit

Cell: 5.2485 5.2485 3.0996 Å, 90.00 90.00 90.00°
Fractional positions:
1 Ni 0.1834 0.1834 0.0000
2 Ni 0.3166 0.6834 0.5000
3 Ni 0.6834 0.3166 0.5000
4 Ni 0.8166 0.8166 0.0000
5 C 0.1779 0.8221 0.0000
6 C 0.3221 0.3221 0.5000
7 C 0.6779 0.6779 0.5000
8 C 0.8221 0.1779 0.0000



# 2
## K2LiGeBr5 (PBE)

Data for a relaxed K2LiGeBr5 crystal.

Total DFT energy (no corrections)   -3.2082 eV per atom
Volume   32.18 Å³/atom
Space-group type   Cmc2_1, No. 36
Uncorrected formation energy   -1.309 eV per atom

Cell: 9.7800 9.7800 14.1034 Å, 90.00 90.00 154.57°
Fractional positions:
1 K 0.0952 0.9048 0.5000
2 K 0.1258 0.8742 0.1395
3 K 0.8742 0.1258 0.6395
4 K 0.9048 0.0952 0.0000
5 Li 0.4351 0.5649 0.2768
6 Li 0.5649 0.4351 0.7768
7 Ge 0.2154 0.7846 0.8593
8 Ge 0.7846 0.2154 0.3593
9 Br 0.0603 0.9397 0.8738
10 Br 0.2746 0.7254 0.4974
11 Br 0.3015 0.6985 0.2261
12 Br 0.3550 0.6450 0.8305
13 Br 0.4962 0.5038 0.1213
14 Br 0.5038 0.4962 0.6213
15 Br 0.6450 0.3550 0.3305
16 Br 0.6985 0.3015 0.7261
17 Br 0.7254 0.2746 0.9974
18 Br 0.9397 0.0603 0.3738



# 3
## CeTmHgPt (PBE)

Data for a relaxed CeTmHgPt crystal.

Total DFT energy (no corrections)   -4.8804 eV per atom
Volume   23.90 Å³/atom
Space-group type   F-43m, No. 216
DFT formation energy   -2.8 eV per formula unit

Cell: 5.1327 5.1327 5.1327 Å, 60.00 60.00 60.00°
Fractional positions:
1 Ce 0.0000 0.0000 0.0000
2 Tm 0.5000 0.5000 0.5000
3 Hg 0.7500 0.7500 0.7500
4 Pt 0.2500 0.2500 0.2500



# 4
## Pm2Nd3Au7 (PBE)

Data for a relaxed Pm2Nd3Au7 crystal.

Total DFT energy (no corrections)   -4.5591 eV per atom
Volume   25.86 Å³/atom
Space-group type   Cmmm, No. 65
DFT formation energy   -8.0 eV per formula unit

Cell: 11.2889 11.2889 5.4660 Å, 90.00 90.00 153.54°
Fractional positions:
1 Pm 0.1411 0.8589 0.0000
2 Pm 0.8589 0.1411 0.0000
3 Nd 0.3329 0.6671 0.5000
4 Nd 0.5000 0.5000 0.5000
5 Nd 0.6671 0.3329 0.5000
6 Au 0.0000 0.0000 0.0000
7 Au 0.0867 0.9133 0.5000
8 Au 0.2792 0.7208 0.0000
9 Au 0.4285 0.5715 0.0000
10 Au 0.5715 0.4285 0.0000
11 Au 0.7208 0.2792 0.0000
12 Au 0.9133 0.0867 0.5000



# 5
## YTcN3 (PBE)

Data for a relaxed YTcN3 crystal.

Total DFT energy (no corrections)   -7.8637 eV per atom
Volume   13.48 Å³/atom
Space-group type   P4mm, No. 99
Uncorrected formation energy   0.498 eV per atom

Cell: 3.4199 3.4199 5.7648 Å, 90.00 90.00 90.00°
Fractional positions:
1 Y 0.0000 0.0000 0.0000
2 Tc 0.5000 0.5000 0.4405
3 N 0.0000 0.0000 0.6242
4 N 0.0000 0.5000 0.2572
5 N 0.5000 0.0000 0.2572



# 6
## BaNaOs2 (PBE)

Data for a relaxed BaNaOs2 crystal.

Total DFT energy (no corrections)   -4.6087 eV per atom
Volume   21.70 Å³/atom
Space-group type   Fm-3m, No. 225
DFT formation energy   7.3 eV per formula unit

Cell: 4.9702 4.9702 4.9702 Å, 60.00 60.00 60.00°
Fractional positions:
1 Ba 0.0000 0.0000 0.0000
2 Na 0.5000 0.5000 0.5000
3 Os 0.2500 0.2500 0.2500
4 Os 0.7500 0.7500 0.7500



# 7
## Pm4SiAsI2 (PBE)

Data for a relaxed Pm4SiAsI2 crystal.

Total DFT energy (no corrections)   -5.1560 eV per atom
Volume   30.55 Å³/atom
Space-group type   P2/m, No. 10
Uncorrected formation energy   -1.134 eV per atom

Cell: 7.4426 4.2988 8.0319 Å, 90.00 107.98 90.00°
Fractional positions:
1 Pm 0.2259 0.0000 0.1947
2 Pm 0.2633 0.5000 0.8060
3 Pm 0.7367 0.5000 0.1940
4 Pm 0.7741 0.0000 0.8053
5 Si 0.0000 0.5000 0.0000
6 As 0.5000 0.0000 0.0000
7 I 0.0000 0.0000 0.5000
8 I 0.5000 0.5000 0.5000



# 8
## GaTeI2N (PBE)

Data for a relaxed GaTeI2N crystal.

Total DFT energy (no corrections)   -3.0267 eV per atom
Volume   32.25 Å³/atom
Space-group type   P4/mmm, No. 123
Uncorrected formation energy   0.492 eV per atom

Cell: 6.3226 6.3226 4.0336 Å, 90.00 90.00 90.00°
Fractional positions:
1 Ga 0.0000 0.0000 0.0000
2 Te 0.5000 0.5000 0.5000
3 I 0.0000 0.5000 0.5000
4 I 0.5000 0.0000 0.5000
5 N 0.5000 0.5000 0.0000



# 9
## Ni2HPd (PBE)

Data for a relaxed Ni2HPd crystal.

Total DFT energy (no corrections)   -4.7629 eV per atom
Volume   10.27 Å³/atom
Space-group type   P4/mmm, No. 123

Cell: 2.5727 2.5727 6.2080 Å, 90.00 90.00 90.00°
Fractional positions:
1 Ni 0.0000 0.0000 0.1865
2 Ni 0.0000 0.0000 0.8135
3 H 0.5000 0.5000 0.0000
4 Pd 0.5000 0.5000 0.5000



# 10
## SrLaIn2Se4 (PBE)

Data for a relaxed SrLaIn2Se4 crystal.

Total DFT energy (no corrections)   -4.4776 eV per atom
Volume   30.67 Å³/atom
Space-group type   P2/m, No. 10
Uncorrected formation energy   -1.225 eV per atom

Cell: 7.6882 4.3755 7.7154 Å, 90.00 109.02 90.00°
Fractional positions:
1 Sr 0.0000 0.0000 0.0000
2 La 0.0000 0.5000 0.5000
3 In 0.5000 0.0000 0.5000
4 In 0.5000 0.5000 0.0000
5 Se 0.2334 0.0000 0.7285
6 Se 0.2440 0.5000 0.2646
7 Se 0.7560 0.5000 0.7354
8 Se 0.7666 0.0000 0.2715



# 11
## La2PmNdTh (PBE)

Data for a relaxed La2PmNdTh crystal.

Total DFT energy (no corrections)   -5.1508 eV per atom
Volume   35.97 Å³/atom
Space-group type   P2/c, No. 13
DFT formation energy   1.0 eV per formula unit

Cell: 6.4569 8.5095 6.7073 Å, 90.00 102.58 90.00°
Fractional positions:
1 La 0.2149 0.1746 0.1651
2 La 0.2149 0.8254 0.6651
3 La 0.7851 0.1746 0.3349
4 La 0.7851 0.8254 0.8349
5 Pm 0.5000 0.1587 0.7500
6 Pm 0.5000 0.8413 0.2500
7 Nd 0.0000 0.4023 0.7500
8 Nd 0.0000 0.5977 0.2500
9 Th 0.5000 0.5000 0.0000
10 Th 0.5000 0.5000 0.5000



# 12
## ScSi3Br (PBE)

Data for a relaxed ScSi3Br crystal.

Total DFT energy (no corrections)   -3.9223 eV per atom
Volume   28.33 Å³/atom
Space-group type   Pm-3m, No. 221
Uncorrected formation energy   0.932 eV per atom

Cell: 5.2128 5.2128 5.2128 Å, 90.00 90.00 90.00°
Fractional positions:
1 Sc 0.0000 0.0000 0.0000
2 Si 0.0000 0.0000 0.5000
3 Si 0.0000 0.5000 0.0000
4 Si 0.5000 0.0000 0.0000
5 Br 0.5000 0.5000 0.5000



Q: Among the records above, which one has the lowest volume?
A: Ni2HPd



Q: Among the records above, which one has the highest total DFT energy (no corrections)?
A: GaTeI2N